Record 1
This record from Alexandria via LeMat-Bulk describes a geometry-optimized ZnGa3Bi structure. The functional is PBE.

Results
Energy relative to the lowest polymorph listed for this composition   0.000 eV per atom
E   -2.623 eV per atom
Calculated volume   119 Å³/cell
Crystal system   cubic
E_form   5.2 kcal/mol of atoms

Cell lengths 4.9252, 4.9252, 4.9252 Å; angles 90.00, 90.00, 90.00 degrees
With the nearest neighbours (Å) after each atom.
Fractional positions:
Zn  0.0000  0.0000  0.0000  6 Ga 2.46
Bi  0.5000  0.5000  0.5000  12 Ga 3.48
Ga  0.0000  0.0000  0.5000  2 Zn 2.46
Ga  0.0000  0.5000  0.0000  2 Zn 2.46
Ga  0.5000  0.0000  0.0000  2 Zn 2.46

Record 2
This record from Alexandria via LeMat-Bulk describes a geometry-optimized ZnGa2Bi2 structure. The functional is PBE.

Results
Energy relative to the lowest polymorph listed for this composition   0.000 eV per atom
E   -2.914 eV per atom
Calculated volume   245 Å³/cell
Crystal system   tetragonal
E_form   2.4 kcal/mol of atoms

Cell lengths 6.7542, 6.7542, 5.3674 Å; angles 90.00, 90.00, 90.00 degrees
With the nearest neighbours (Å) after each atom.
Fractional positions:
Ga  0.1360  0.3640  0.0000  1 Ga 2.60, 2 Zn 2.62
Zn  0.0000  0.0000  0.0000  4 Ga 2.62
Bi  0.7112  0.7888  0.5000  2 Ga 3.06, 4 Bi 3.42
Ga  0.8640  0.6360  0.0000  1 Ga 2.60, 2 Zn 2.62
Ga  0.3640  0.8640  0.0000  1 Ga 2.60, 2 Zn 2.62
Zn  0.5000  0.5000  0.0000  4 Ga 2.62
Bi  0.7888  0.2888  0.5000  2 Ga 3.06, 4 Bi 3.42
Bi  0.2112  0.7112  0.5000  2 Ga 3.06, 4 Bi 3.42
Ga  0.6360  0.1360  0.0000  1 Ga 2.60, 2 Zn 2.62
Bi  0.2888  0.2112  0.5000  2 Ga 3.06, 4 Bi 3.42

Record 3
This record from Alexandria via LeMat-Bulk describes a geometry-optimized ZnGa2Bi2 structure. The functional is PBE.

Results
Energy relative to the lowest polymorph listed for this composition   0.136 eV per atom
E   -2.778 eV per atom
Calculated volume   140 Å³/cell
Crystal system   tetragonal
E_form   5.5 kcal/mol of atoms

Cell lengths 5.1413, 5.1413, 6.4166 Å; angles 66.38, 66.38, 90.00 degrees
With the nearest neighbours (Å) after each atom.
Fractional positions:
Zn  0.0000  0.0000  0.0000  8 Bi 3.69, 10 Ga 3.84-4.06
Bi  0.2500  0.7500  0.5000  4 Ga 2.94
Ga  0.3840  0.3840  0.2320  1 Ga 2.45
Ga  0.6160  0.6160  0.7680  1 Ga 2.45
Bi  0.7500  0.2500  0.5000  4 Ga 2.94

Record 4
This record from Alexandria via LeMat-Bulk describes a geometry-optimized ZnGaBi structure. The functional is PBE.

Results
Energy relative to the lowest polymorph listed for this composition   0.080 eV per atom
E   -2.575 eV per atom
Calculated volume   141 Å³/cell
Crystal system   orthorhombic
E_form   3.5 kcal/mol of atoms

Cell lengths 3.3293, 3.3342, 14.6844 Å; angles 90.00, 90.00, 119.95 degrees
With the nearest neighbours (Å) after each atom.
Fractional positions:
Bi  0.1057  0.2115  0.8049  3 Zn 3.14-3.20, 6 Bi 3.33, 3 Ga 3.44-3.46
Zn  0.7842  0.5683  0.3677  3 Ga 2.73
Ga  0.4358  0.8716  0.0000  6 Ga 3.33, 6 Bi 3.44-3.46
Ga  0.4510  0.9021  0.5000  6 Zn 2.73
Bi  0.1057  0.2115  0.1951  3 Zn 3.14-3.20, 6 Bi 3.33, 3 Ga 3.44-3.46
Zn  0.7842  0.5683  0.6323  3 Ga 2.73

Record 5
This record from Alexandria via LeMat-Bulk describes a geometry-optimized ZnGa2Bi structure. The functional is PBE.

Results
Energy relative to the lowest polymorph listed for this composition   0.135 eV per atom
E   -2.557 eV per atom
Calculated volume   232 Å³/cell
Crystal system   tetragonal
E_form   5.6 kcal/mol of atoms

Cell lengths 6.4826, 6.4826, 7.1668 Å; angles 63.11, 63.11, 90.00 degrees
With the nearest neighbours (Å) after each atom.
Fractional positions:
Zn  0.2500  0.7500  0.5000  4 Ga 2.55
Bi  0.0000  0.0000  0.0000  4 Ga 2.81
Ga  0.8750  0.8418  0.7500  2 Zn 2.55, 2 Bi 2.81
Bi  0.7500  0.2500  0.5000  4 Ga 2.81
Ga  0.5918  0.1250  0.2500  2 Zn 2.55, 2 Bi 2.81
Ga  0.3750  0.4082  0.7500  2 Zn 2.55, 2 Bi 2.81
Ga  0.1582  0.6250  0.2500  2 Zn 2.55, 2 Bi 2.81
Zn  0.5000  0.5000  0.0000  4 Ga 2.55

Record 6
This record from Alexandria via LeMat-Bulk describes a geometry-optimized ZnGaBi2 structure. The functional is PBE.

Results
E   -2.868 eV per atom
Calculated volume   102 Å³/cell
Crystal system   tetragonal
E_form   3.4 kcal/mol of atoms

Cell lengths 4.2297, 4.9115, 4.9115 Å; angles 90.00, 90.00, 90.00 degrees
With the nearest neighbours (Å) after each atom.
Fractional positions:
Zn  0.5000  0.5000  0.5000  8 Bi 3.24, 4 Ga 3.47
Ga  0.5000  0.0000  0.0000  8 Bi 3.24, 4 Zn 3.47
Bi  0.0000  0.0000  0.5000  4 Ga 3.24, 4 Zn 3.24, 4 Bi 3.47
Bi  0.0000  0.5000  0.0000  4 Zn 3.24, 4 Ga 3.24, 4 Bi 3.47

Record 7
This record from Alexandria via LeMat-Bulk describes a geometry-optimized Zn4Ga2Bi structure. The functional is PBE.

Results
E   -1.685 eV per atom
Calculated volume   196 Å³/cell
Crystal system   tetragonal
E_form   10.7 kcal/mol of atoms

Cell lengths 5.4215, 5.4215, 7.7012 Å; angles 69.39, 69.39, 90.00 degrees
With the nearest neighbours (Å) after each atom.
Fractional positions:
Ga  0.5959  0.5959  0.8081  1 Zn 2.52, 1 Ga 2.56
Zn  0.0000  0.5000  0.0000  2 Bi 2.71, 4 Ga 3.00
Bi  0.0000  0.0000  0.0000  6 Zn 2.71-2.88
Zn  0.5000  0.0000  0.0000  2 Bi 2.71, 4 Ga 3.00
Zn  0.2153  0.2153  0.5693  1 Ga 2.52
Ga  0.4041  0.4041  0.1919  1 Zn 2.52, 1 Ga 2.56
Zn  0.7847  0.7847  0.4307  1 Ga 2.52

Record 8
This record from Alexandria via LeMat-Bulk describes a geometry-optimized ZnGaBi2 structure. The functional is PBE.

Results
E   -2.904 eV per atom
Calculated volume   261 Å³/cell
Crystal system   tetragonal
E_form   2.6 kcal/mol of atoms

Cell lengths 6.4635, 6.4635, 7.7400 Å; angles 65.32, 65.32, 90.00 degrees
With the nearest neighbours (Å) after each atom.
Fractional positions:
Bi  0.6209  0.1250  0.2500  2 Zn 2.75, 2 Ga 2.78
Bi  0.1291  0.6250  0.2500  2 Zn 2.75, 2 Ga 2.78
Bi  0.8750  0.8709  0.7500  2 Zn 2.75, 2 Ga 2.78
Ga  0.7500  0.2500  0.5000  4 Bi 2.78
Ga  0.0000  0.0000  0.0000  4 Bi 2.78
Bi  0.3750  0.3791  0.7500  2 Zn 2.75, 2 Ga 2.78
Zn  0.2500  0.7500  0.5000  4 Bi 2.75
Zn  0.5000  0.5000  0.0000  4 Bi 2.75

no.,D(E_F) (states/eV/f.u.)
1,0.99
2,2.48
3,2.71
4,1.01
5,1.95
6,1.55
7,3.57
8,2.29